# SrCd2HgRh

A relaxed SrCd2HgRh crystal (PBE-GGA, the Alexandria database).

Cell and atoms, written as CIF:
```
data_SrCd2HgRh
_chemical_formula_sum 'Sr1 Cd2 Hg1 Rh1'
_cell_length_a 5.1813
_cell_length_b 5.1813
_cell_length_c 5.2854
_cell_angle_alpha 90.00
_cell_angle_beta 90.00
_cell_angle_gamma 90.00
_space_group_name_H-M_alt 'P 4/m m m'
_space_group_IT_number 123
_space_group_name_Hall '-P 4 2'
loop_
_atom_site_label
_atom_site_fract_x
_atom_site_fract_y
_atom_site_fract_z
Sr1 0.0000 0.0000 0.0000
Cd1 0.0000 0.5000 0.5000
Hg1 0.5000 0.5000 0.0000
Rh1 0.5000 0.5000 0.5000
```

Calculated values
DFT total energy = -2.42 eV/atom
E_form = -184.2 meV/atom
Crystal system = tetragonal
Calculated volume = 28.4 Å³ per atom
Calculated density = 7.21 g cm⁻³
Relative energy among the computed polymorphs = 0.00 eV per formula unit